# 1
Here is a relaxed InAsW crystal from OQMD. Energies are from PBE.

POSCAR file:
```
InAsW
1.0
0.000 3.130 3.130
3.130 0.000 3.130
3.130 3.130 0.000
As In W
1 1 1
Cartesian
0.000 0.000 0.000
1.565 1.565 1.565
4.695 4.695 4.695
```

Properties
ΔE to the lowest computed polymorph, meV per atom: 48
SG: No. 216

# 2
Here is a relaxed Pa2GeSe crystal from OQMD. Energies are from PBE.

POSCAR file:
```
Pa2GeSe
1.0
4.104 0.000 0.000
0.000 4.104 0.000
0.000 0.000 5.802
Ge Pa Se
1 2 1
Cartesian
0.000 0.000 5.074
0.000 0.000 2.173
2.052 2.052 5.079
2.052 2.052 2.178
```

Properties
VASP energy, eV/cell: -30.59
SG: No. 99

# 3
Here is a relaxed Gd2ErTmTl2 crystal from OQMD. Energies are from PBE.

POSCAR file:
```
Gd2ErTmTl2
1.0
-1.370 1.437 -5.007
-3.709 -2.051 3.323
-1.468 6.174 2.173
Er Gd Tl Tm
1 2 2 1
Cartesian
-3.663 2.198 1.633
-0.366 1.540 0.542
-1.102 4.633 1.631
-2.929 -0.889 0.546
-2.883 3.361 -1.144
-2.149 0.274 -2.230
```

Properties
VASP energy, eV/cell: -24.62
SG: No. 187

Number 1: spin magnetization 0.01 Bohr magnetons per cell. Number 2: spin magnetization 0.00 Bohr magnetons per cell. Number 3: spin magnetization 0.85 Bohr magnetons per cell.